# 1
# CsNa2ClO (PBE, optimized geometry)
data_CsNa2ClO
_cell_length_a 4.7038
_cell_length_b 4.7038
_cell_length_c 6.0566
_cell_angle_alpha 90.00
_cell_angle_beta 90.00
_cell_angle_gamma 90.00
_space_group_name_H-M_alt 'P 4/m m m'
_space_group_IT_number 123
_space_group_name_Hall '-P 4 2'
loop_
_atom_site_label
_atom_site_type_symbol
_atom_site_fract_x
_atom_site_fract_y
_atom_site_fract_z
Cs1 Cs 0.0000 0.0000 0.0000
Na1 Na 0.0000 0.5000 0.5000
Cl1 Cl 0.5000 0.5000 0.0000
O1 O 0.0000 0.0000 0.5000
# Volume   134.0 Å³ per cell
# Uncorrected formation energy   -1.33 eV/atom
# DFT total energy   -16.97 eV per cell

***

# 2
# CsNaOsCl6 (PBE, optimized geometry)
data_CsNaOsCl6
_cell_length_a 6.9261
_cell_length_b 12.0167
_cell_length_c 7.4950
_cell_angle_alpha 90.00
_cell_angle_beta 90.06
_cell_angle_gamma 90.00
_space_group_name_H-M_alt 'C 1 2 1'
_space_group_IT_number 5
loop_
_space_group_symop_operation_xyz
'x,y,z'
'-x,y,-z'
'x+1/2,y+1/2,z'
'-x+1/2,y+1/2,-z'
loop_
_atom_site_label
_atom_site_type_symbol
_atom_site_fract_x
_atom_site_fract_y
_atom_site_fract_z
Cs1 Cs 0.0000 0.0000 0.0000
Na1 Na 0.0000 0.3337 0.5000
Os1 Os 0.0000 0.6667 0.5000
Cl1 Cl 0.1305 0.5260 0.3177
Cl2 Cl 0.1456 0.8025 0.3177
Cl3 Cl 0.2227 0.1718 0.3182
# Volume   623.8 Å³ per cell
# Uncorrected formation energy   -1.09 eV/atom
# DFT total energy   -68.59 eV per cell

***

# 3
# CsNaPCl2 (PBE, optimized geometry)
data_CsNaPCl2
_cell_length_a 6.3580
_cell_length_b 6.3580
_cell_length_c 5.7648
_cell_angle_alpha 90.00
_cell_angle_beta 90.00
_cell_angle_gamma 90.00
_space_group_name_H-M_alt 'P 4/m m m'
_space_group_IT_number 123
_space_group_name_Hall '-P 4 2'
loop_
_atom_site_label
_atom_site_type_symbol
_atom_site_fract_x
_atom_site_fract_y
_atom_site_fract_z
Cs1 Cs 0.0000 0.0000 0.0000
Na1 Na 0.5000 0.5000 0.5000
P1 P 0.0000 0.0000 0.5000
Cl1 Cl 0.0000 0.5000 0.0000
# Volume   233.0 Å³ per cell
# Uncorrected formation energy   -0.18 eV/atom
# DFT total energy   -12.19 eV per cell